Pa3Tl2CuO12: optimized geometry, PBE.

Output
size of the total moment = 1.180 μB per formula unit
uncorrected formation energy = -2.030 eV/atom

Cell lengths 7.582, 7.582, 7.582 Å; angles 63.76, 63.76, 63.76 degrees
Sites, in units of the cell vectors:
Pa1 0.000 0.500 0.500
Pa2 0.500 0.000 0.500
Pa3 0.500 0.500 0.000
Tl1 0.158 0.158 0.158
Tl2 0.842 0.842 0.842
Cu1 0.500 0.500 0.500
O1 0.174 0.174 0.541
O2 0.174 0.541 0.174
O3 0.214 0.555 0.555
O4 0.445 0.445 0.786
O5 0.445 0.786 0.445
O6 0.459 0.826 0.826
O7 0.541 0.174 0.174
O8 0.555 0.214 0.555
O9 0.555 0.555 0.214
O10 0.786 0.445 0.445
O11 0.826 0.459 0.826
O12 0.826 0.826 0.459

La4ZnFe: optimized geometry, PBE.

Output
size of the total moment = 0.000 μB per formula unit
calculated formation energy = -0.06 eV per atom

Cell lengths 7.782, 7.782, 6.244 Å; angles 99.62, 99.62, 109.44 degrees
Sites, in units of the cell vectors:
La1 0.049 0.730 0.961
La2 0.206 0.383 0.600
La3 0.270 0.951 0.539
La4 0.383 0.206 0.100
La5 0.617 0.794 0.900
La6 0.730 0.049 0.461
La7 0.794 0.617 0.400
La8 0.951 0.270 0.039
Zn1 0.379 0.621 0.250
Zn2 0.621 0.379 0.750
Fe1 0.003 0.997 0.250
Fe2 0.997 0.003 0.750

CaZn2Se: optimized geometry, PBE.

Output
size of the total moment = 0.000 μB per formula unit
uncorrected formation energy = -0.602 eV/atom

Cell lengths 4.017, 4.017, 5.714 Å; angles 90.00, 90.00, 90.00 degrees
Sites, in units of the cell vectors:
Ca1 0.000 0.000 0.000
Zn1 0.000 0.500 0.500
Zn2 0.500 0.000 0.500
Se1 0.500 0.500 0.000

La2Pr2Er: optimized geometry, PBE.

Output
size of the total moment = 0.000 μB per formula unit
ΔE to the lowest computed polymorph = 0.227 eV/atom
calculated formation energy = 0.26 eV per atom

Cell lengths 8.887, 8.887, 6.458 Å; angles 90.00, 90.00, 133.08 degrees
Sites, in units of the cell vectors:
La1 0.067 0.401 0.250
La2 0.401 0.067 0.750
La3 0.599 0.933 0.250
La4 0.933 0.599 0.750
Pr1 0.172 0.828 0.250
Pr2 0.410 0.590 0.750
Pr3 0.590 0.410 0.250
Pr4 0.828 0.172 0.750
Er1 0.000 0.000 0.000
Er2 0.000 0.000 0.500

PPb2W: optimized geometry, PBE.

Output
size of the total moment = 0.000 μB per formula unit
calculated formation energy = 0.45 eV per atom

Cell lengths 4.008, 5.508, 5.508 Å; angles 47.99, 90.00, 90.00 degrees
Sites, in units of the cell vectors:
P1 0.000 0.000 0.000
Pb1 0.000 0.281 0.281
Pb2 0.500 0.578 0.578
W1 0.500 0.874 0.874

Pu2Cd6Ag3: optimized geometry, PBE.

Output
size of the total moment = 12.077 μB per formula unit
calculated formation energy = 0.05 eV per atom

Cell lengths 8.401, 8.401, 4.416 Å; angles 90.00, 90.00, 120.00 degrees
Sites, in units of the cell vectors:
Pu1 0.333 0.667 0.000
Pu2 0.667 0.333 0.000
Cd1 0.000 0.277 0.500
Cd2 0.000 0.798 0.000
Cd3 0.202 0.202 0.000
Cd4 0.277 0.000 0.500
Cd5 0.723 0.723 0.500
Cd6 0.798 0.000 0.000
Ag1 0.000 0.599 0.500
Ag2 0.401 0.401 0.500
Ag3 0.599 0.000 0.500

RuSe2BrCl: optimized geometry, PBE.

Output
size of the total moment = 4.078 μB per formula unit
uncorrected formation energy = 1.408 eV/atom
ΔE to the lowest computed polymorph = 1.078 eV/atom

Cell lengths 5.031, 5.031, 5.068 Å; angles 90.00, 90.00, 90.00 degrees
Sites, in units of the cell vectors:
Ru1 0.000 0.000 0.000
Se1 0.000 0.500 0.500
Se2 0.500 0.000 0.500
Br1 0.500 0.500 0.000
Cl1 0.500 0.500 0.500

BaMo2Se: optimized geometry, PBE.

Output
size of the total moment = 0.338 μB per formula unit
uncorrected formation energy = 0.876 eV/atom

Cell lengths 5.008, 5.008, 5.008 Å; angles 60.00, 60.00, 60.00 degrees
Sites, in units of the cell vectors:
Ba1 0.000 0.000 0.000
Mo1 0.250 0.250 0.250
Mo2 0.500 0.500 0.500
Se1 0.750 0.750 0.750

Cr3CoB: optimized geometry, PBE.

Output
size of the total moment = 0.000 μB per formula unit
ΔE to the lowest computed polymorph = 1.460 eV/atom
calculated formation energy = 1.82 eV per atom

Cell lengths 4.112, 4.112, 4.112 Å; angles 90.00, 90.00, 90.00 degrees
Sites, in units of the cell vectors:
Cr1 0.000 0.000 0.500
Cr2 0.000 0.500 0.000
Cr3 0.500 0.000 0.000
Co1 0.000 0.000 0.000
B1 0.500 0.500 0.500

PaGaFe2C: optimized geometry, PBE.

Output
size of the total moment = 0.000 μB per formula unit
calculated formation energy = -0.25 eV per atom

Cell lengths 5.730, 5.730, 6.695 Å; angles 90.00, 90.00, 140.41 degrees
Sites, in units of the cell vectors:
Pa1 0.064 0.936 0.750
Pa2 0.936 0.064 0.250
Ga1 0.221 0.779 0.250
Ga2 0.779 0.221 0.750
Fe1 0.340 0.660 0.559
Fe2 0.340 0.660 0.941
Fe3 0.660 0.340 0.059
Fe4 0.660 0.340 0.441
C1 0.500 0.500 0.000
C2 0.500 0.500 0.500

Co2AgSb2: optimized geometry, PBE.

Output
size of the total moment = 2.295 μB per formula unit
uncorrected formation energy = 0.213 eV/atom
ΔE to the lowest computed polymorph = 0.078 eV/atom

Cell lengths 8.377, 8.377, 8.377 Å; angles 156.16, 156.16, 33.97 degrees
Sites, in units of the cell vectors:
Co1 0.250 0.750 0.500
Co2 0.750 0.250 0.500
Ag1 0.000 0.000 0.000
Sb1 0.373 0.373 0.000
Sb2 0.627 0.627 0.000

ZnFe2Au: optimized geometry, PBE.

Output
size of the total moment = 5.280 μB per formula unit
calculated formation energy = 0.11 eV per atom

Cell lengths 4.742, 4.742, 2.718 Å; angles 90.27, 90.27, 112.01 degrees
Sites, in units of the cell vectors:
Zn1 0.000 0.000 0.000
Fe1 0.000 0.500 0.500
Fe2 0.500 0.000 0.500
Au1 0.500 0.500 0.000